# 1
Compound: LaTa3Ir
Source: the Alexandria database
Functional: PBE
Structure: relaxed

The space group is Pm-3m (No. 221) and the conventional cell measures 4.9649, 4.9649 and 4.9649 Å, with angles of 90.00, 90.00 and 90.00 degrees. The inequivalent atoms are La at (0.0000, 0.0000, 0.0000), Ta at (0.0000, 0.5000, 0.5000) and Ir at (0.5000, 0.5000, 0.5000).

Its magnetization is 0.00 μB/f.u. The value obtained for the uncorrected energy is -9.196 eV/atom. Its formation energy from the elements is 0.6731 eV per atom.


# 2
Compound: LaTaIr2
Source: the Alexandria database
Functional: PBE
Structure: relaxed

The space group is C2/m (No. 12) and the conventional cell measures 7.1351, 7.1428 and 3.0059 Å, with angles of 90.00, 90.16 and 90.00 degrees. The inequivalent atoms are La at (0.0000, 0.0000, 0.0000), Ta at (0.0000, 0.5000, 0.0000) and Ir at (0.2500, 0.2500, 0.5000).

Its magnetization is 0.00 μB/f.u. The value obtained for the uncorrected energy is -8.890 eV/atom. Its formation energy from the elements is -0.2643 eV per atom.


# 3
Compound: La2TaIr
Source: the Alexandria database
Functional: PBE
Structure: relaxed

The space group is R-3m (No. 166, hexagonal axes) and the conventional cell measures 3.6854, 3.6854 and 26.9881 Å, with angles of 90.00, 90.00 and 120.00 degrees. The inequivalent atoms are La at (0.0000, 0.0000, 0.2374), Ta at (0.0000, 0.0000, 0.0000) and Ir at (0.0000, 0.0000, 0.5000).

Its magnetization is 0.00 μB/f.u. The value obtained for the uncorrected energy is -7.297 eV/atom. Its formation energy from the elements is 0.3453 eV per atom.


# 4
Compound: LaTa2Ir2
Source: the Alexandria database
Functional: PBE
Structure: relaxed

The space group is I4/mmm (No. 139) and the conventional cell measures 4.6050, 4.6050 and 10.4087 Å, with angles of 90.00, 90.00 and 90.00 degrees. The inequivalent atoms are La at (0.0000, 0.0000, 0.0000), Ta at (0.0000, 0.0000, 0.3635) and Ir at (0.0000, 0.5000, 0.2500).

Its magnetization is 0.00 μB/f.u. The value obtained for the uncorrected energy is -9.475 eV/atom. Its formation energy from the elements is -0.2043 eV per atom.


# 5
Compound: La2TaIr
Source: the Alexandria database
Functional: PBE
Structure: relaxed

The space group is F-43m (No. 216) and the conventional cell measures 7.0828, 7.0828 and 7.0828 Å, with angles of 90.00, 90.00 and 90.00 degrees. The inequivalent atoms are La at (0.0000, 0.0000, 0.0000), La at (0.2500, 0.2500, 0.2500), Ta at (0.0000, 0.0000, 0.5000) and Ir at (0.2500, 0.2500, 0.7500).

Its magnetization is 0.00 μB/f.u. The value obtained for the uncorrected energy is -7.475 eV/atom. Its formation energy from the elements is 0.1675 eV per atom.


# 6
Compound: LaTa2Ir
Source: the Alexandria database
Functional: PBE
Structure: relaxed

The space group is Pmmm (No. 47) and the conventional cell measures 3.3645, 4.8437 and 4.8736 Å, with angles of 90.00, 90.00 and 90.00 degrees. The inequivalent atoms are La at (0.0000, 0.0000, 0.0000), Ta at (0.0000, 0.5000, 0.5000), Ta at (0.5000, 0.0000, 0.5000) and Ir at (0.5000, 0.5000, 0.0000).

Its magnetization is 0.00 μB/f.u. The value obtained for the uncorrected energy is -9.183 eV/atom. Its formation energy from the elements is 0.1909 eV per atom.


# 7
Compound: LaTa2Ir
Source: the Alexandria database
Functional: PBE
Structure: relaxed

The space group is C2/m (No. 12) and the conventional cell measures 11.2440, 3.0006 and 5.1831 Å, with angles of 90.00, 104.74 and 90.00 degrees. The inequivalent atoms are La at (0.0000, 0.0000, 0.0000), Ta at (0.2098, 0.0000, 0.6898) and Ir at (0.0000, 0.5000, 0.5000).

Its magnetization is 0.00 μB/f.u. The value obtained for the uncorrected energy is -9.325 eV/atom. Its formation energy from the elements is 0.0487 eV per atom.


# 8
Compound: LaTa2Ir
Source: the Alexandria database
Functional: PBE
Structure: relaxed

The space group is Immm (No. 71) and the conventional cell measures 2.9923, 5.0300 and 11.2214 Å, with angles of 90.00, 90.00 and 90.00 degrees. The inequivalent atoms are La at (0.0000, 0.0000, 0.0000), Ta at (0.0000, 0.5000, 0.2110) and Ir at (0.0000, 0.0000, 0.5000).

Its magnetization is 0.00 μB/f.u. The value obtained for the uncorrected energy is -9.308 eV/atom. Its formation energy from the elements is 0.0650 eV per atom.


# 9
Compound: LaTa2Ir
Source: the Alexandria database
Functional: PBE
Structure: relaxed

The space group is R-3m (No. 166, hexagonal axes) and the conventional cell measures 2.9872, 2.9872 and 30.9407 Å, with angles of 90.00, 90.00 and 120.00 degrees. The inequivalent atoms are La at (0.0000, 0.0000, 0.0000), Ta at (0.0000, 0.0000, 0.2378) and Ir at (0.0000, 0.0000, 0.5000).

Its magnetization is 0.00 μB/f.u. The value obtained for the uncorrected energy is -9.071 eV/atom. Its formation energy from the elements is 0.3019 eV per atom.


# 10
Compound: La2TaIr
Source: the Alexandria database
Functional: PBE
Structure: relaxed

The space group is P2/m (No. 10) and the conventional cell measures 3.1901, 4.9823 and 5.7890 Å, with angles of 90.00, 100.54 and 90.00 degrees. The inequivalent atoms are La at (0.2050, 0.0000, 0.2581), Ta at (0.5000, 0.5000, 0.0000) and Ir at (0.0000, 0.5000, 0.5000).

Its magnetization is 0.00 μB/f.u. The value obtained for the uncorrected energy is -7.349 eV/atom. Its formation energy from the elements is 0.2926 eV per atom.


# 11
Compound: LaTaIr2
Source: the Alexandria database
Functional: PBE
Structure: relaxed

The space group is Pmmm (No. 47) and the conventional cell measures 3.1340, 3.1721 and 7.8011 Å, with angles of 90.00, 90.00 and 90.00 degrees. The inequivalent atoms are La at (0.0000, 0.0000, 0.0000), Ta at (0.0000, 0.0000, 0.5000) and Ir at (0.5000, 0.5000, 0.3016).

Its magnetization is 0.00 μB/f.u. The value obtained for the uncorrected energy is -9.185 eV/atom. Its formation energy from the elements is -0.5593 eV per atom.


# 12
Compound: LaTaIr
Source: the Alexandria database
Functional: PBE
Structure: relaxed

The space group is I4mm (No. 107) and the conventional cell measures 3.2913, 3.2913 and 12.3250 Å, with angles of 90.00, 90.00 and 90.00 degrees. The inequivalent atoms are La at (0.0000, 0.0000, 0.0000), Ta at (0.0000, 0.0000, 0.2957) and Ir at (0.0000, 0.0000, 0.6974).

Its magnetization is 0.00 μB/f.u. The value obtained for the uncorrected energy is -8.784 eV/atom. Its formation energy from the elements is -0.2372 eV per atom.


# 13
Compound: LaTa2Ir2
Source: the Alexandria database
Functional: PBE
Structure: relaxed

The space group is I4/mmm (No. 139) and the conventional cell measures 4.4847, 4.4847 and 10.6682 Å, with angles of 90.00, 90.00 and 90.00 degrees. The inequivalent atoms are La at (0.0000, 0.0000, 0.0000), Ta at (0.0000, 0.5000, 0.2500) and Ir at (0.0000, 0.0000, 0.3725).

Its magnetization is 0.00 μB/f.u. The value obtained for the uncorrected energy is -9.885 eV/atom. Its formation energy from the elements is -0.6138 eV per atom.


# 14
Compound: LaTa3Ir
Source: the Alexandria database
Functional: PBE
Structure: relaxed

The space group is Pm-3m (No. 221) and the conventional cell measures 4.7981, 4.7981 and 4.7981 Å, with angles of 90.00, 90.00 and 90.00 degrees. The inequivalent atoms are La at (0.0000, 0.0000, 0.0000), Ta at (0.0000, 0.0000, 0.5000) and Ir at (0.5000, 0.5000, 0.5000).

Its magnetization is 0.00 μB/f.u. The value obtained for the uncorrected energy is -7.451 eV/atom. Its formation energy from the elements is 2.4180 eV per atom.


# 15
Compound: LaTa2Ir
Source: the Alexandria database
Functional: PBE
Structure: relaxed

The space group is P2/m (No. 10) and the conventional cell measures 2.9971, 4.7647 and 5.6222 Å, with angles of 90.00, 101.05 and 90.00 degrees. The inequivalent atoms are La at (0.0000, 0.0000, 0.0000), Ta at (0.2628, 0.5000, 0.7296) and Ir at (0.5000, 0.0000, 0.5000).

Its magnetization is 0.00 μB/f.u. The value obtained for the uncorrected energy is -9.144 eV/atom. Its formation energy from the elements is 0.2293 eV per atom.


# 16
Compound: LaTa2Ir
Source: the Alexandria database
Functional: PBE
Structure: relaxed

The space group is P4mm (No. 99) and the conventional cell measures 3.1668, 3.1668 and 8.3322 Å, with angles of 90.00, 90.00 and 90.00 degrees. The inequivalent atoms are La at (0.0000, 0.0000, 0.0000), Ta at (0.0000, 0.0000, 0.5407), Ta at (0.5000, 0.5000, 0.3120) and Ir at (0.5000, 0.5000, 0.7162).

Its magnetization is 0.00 μB/f.u. The value obtained for the uncorrected energy is -9.458 eV/atom. Its formation energy from the elements is -0.0845 eV per atom.


# 17
Compound: LaTaIr2
Source: the Alexandria database
Functional: PBE
Structure: relaxed

The space group is Imm2 (No. 44) and the conventional cell measures 3.1552, 3.8077 and 14.4789 Å, with angles of 90.00, 90.00 and 90.00 degrees. The inequivalent atoms are La at (0.0000, 0.0000, 0.0000), Ta at (0.0000, 0.5000, 0.2572), Ir at (0.0000, 0.0000, 0.6158) and Ir at (0.0000, 0.5000, 0.8270).

Its magnetization is 0.00 μB/f.u. The value obtained for the uncorrected energy is -8.856 eV/atom. Its formation energy from the elements is -0.2303 eV per atom.


# 18
Compound: LaTa2Ir
Source: the Alexandria database
Functional: PBE
Structure: relaxed

The space group is Imm2 (No. 44) and the conventional cell measures 3.1033, 5.1677 and 10.0356 Å, with angles of 90.00, 90.00 and 90.00 degrees. The inequivalent atoms are La at (0.0000, 0.0000, 0.0000), Ta at (0.0000, 0.0000, 0.5268), Ta at (0.0000, 0.5000, 0.7776) and Ir at (0.0000, 0.5000, 0.2389).

Its magnetization is 0.00 μB/f.u. The value obtained for the uncorrected energy is -9.170 eV/atom. Its formation energy from the elements is 0.2034 eV per atom.


# 19
Compound: La2TaIr
Source: the Alexandria database
Functional: PBE
Structure: relaxed

The space group is Pmmm (No. 47) and the conventional cell measures 3.5899, 4.7802 and 5.2419 Å, with angles of 90.00, 90.00 and 90.00 degrees. The inequivalent atoms are La at (0.0000, 0.0000, 0.0000), La at (0.5000, 0.0000, 0.5000), Ta at (0.0000, 0.5000, 0.5000) and Ir at (0.5000, 0.5000, 0.0000).

Its magnetization is 0.00 μB/f.u. The value obtained for the uncorrected energy is -7.410 eV/atom. Its formation energy from the elements is 0.2317 eV per atom.


# 20
Compound: LaTaIr2
Source: the Alexandria database
Functional: PBE
Structure: relaxed

The space group is Pmm2 (No. 25) and the conventional cell measures 3.0178, 3.9368 and 6.9565 Å, with angles of 90.00, 90.00 and 90.00 degrees. The inequivalent atoms are La at (0.0000, 0.0000, 0.0000), Ta at (0.5000, 0.5000, 0.3780), Ir at (0.0000, 0.0000, 0.5147) and Ir at (0.5000, 0.5000, 0.7463).

Its magnetization is 0.00 μB/f.u. The value obtained for the uncorrected energy is -8.714 eV/atom. Its formation energy from the elements is -0.0885 eV per atom.